# PBE Sr2FeB, optimized geometry
data_Sr2FeB
_chemical_formula_sum 'Sr8 Fe4 B4'
_cell_length_a 10.899
_cell_length_b 10.899
_cell_length_c 3.928
_cell_angle_alpha 90.00
_cell_angle_beta 90.00
_cell_angle_gamma 90.00
_symmetry_space_group_name_H-M 'I -4 2 d'
_symmetry_Int_Tables_number 122
_symmetry_space_group_name_Hall 'I -4 2bw'
loop_
_atom_site_label
_atom_site_fract_x
_atom_site_fract_y
_atom_site_fract_z
_atom_site_occupancy
Sr1 0.061 0.250 0.125 1
Fe1 0.000 0.000 0.500 1
B1 0.000 0.000 0.000 1
# ΔH_f (0 K): 0.36 eV/atom
# E: -4.268 eV/atom
# Magnetization: 7.21 μB/cell